[1]
DFT (PBE-GGA) results for a geometry-optimized Pa2TaIn structure.

Computed properties:
Energy relative to the lowest polymorph listed for this composition, meV per atom: 27.4
DFT formation energy, eV per atom: 0.1047
Total energy, eV per atom: -8.2910

Lattice parameters (Å, degrees): 4.783 4.368 4.368 90.00 90.00 90.00
Positions (direct):
Pa 0.000 0.000 0.500
Pa 0.000 0.500 0.000
In 0.500 0.000 0.000
Ta 0.500 0.500 0.500

***

[2]
DFT (PBE-GGA) results for a geometry-optimized Ho4Si2H structure.

Computed properties:
Energy relative to the lowest polymorph listed for this composition, meV per atom: 30.8
Total energy, eV per atom: -5.1980

Lattice parameters (Å, degrees): 4.367 4.367 8.431 74.99 74.99 90.00
Positions (direct):
H 0.000 0.000 0.000
Si 0.634 0.634 0.732
Si 0.366 0.366 0.268
Ho 0.819 0.819 0.362
Ho 0.181 0.181 0.638
Ho 0.000 0.500 0.000
Ho 0.500 0.000 0.000

***

[3]
DFT (PBE-GGA) results for a geometry-optimized VFeTc2Rh structure.

Computed properties:
DFT formation energy, eV per atom: 1.4642
Total energy, eV per atom: -7.6687

Lattice parameters (Å, degrees): 4.391 4.401 4.391 90.00 90.00 90.00
Site moments in Bohr magnetons follow the coordinates.
Positions (direct):
V 0.000 0.000 0.000  0.02
Rh 0.000 0.500 0.000  -0.08
Tc 0.000 0.000 0.500  0.01
Tc 0.500 0.000 0.000  0.04
Fe 0.500 0.500 0.500  -0.04

***

[4]
DFT (PBE-GGA) results for a geometry-optimized PaAl6Ni3 structure.

Computed properties:
DFT formation energy, eV per atom: -0.4222
Total energy, eV per atom: -5.3518

Lattice parameters (Å, degrees): 4.035 7.443 10.475 80.34 90.00 90.00
Positions (direct):
Pa 0.750 0.048 0.774
Pa 0.250 0.952 0.226
Al 0.750 0.394 0.541
Al 0.250 0.606 0.459
Al 0.750 0.747 0.030
Al 0.250 0.253 0.970
Al 0.750 0.340 0.136
Al 0.250 0.660 0.864
Al 0.750 0.618 0.275
Al 0.250 0.382 0.725
Al 0.750 0.101 0.425
Al 0.250 0.899 0.575
Al 0.750 0.661 0.687
Al 0.250 0.339 0.313
Ni 0.750 0.431 0.878
Ni 0.250 0.569 0.122
Ni 0.750 0.772 0.462
Ni 0.250 0.228 0.538
Ni 0.750 0.079 0.040
Ni 0.250 0.921 0.960

***

[5]
DFT (PBE-GGA) results for a geometry-optimized KNbPd3 structure.

Computed properties:
Energy relative to the lowest polymorph listed for this composition, meV per atom: 0.0
DFT formation energy, eV per atom: 0.5409
Total energy, eV per atom: -4.8082

Lattice parameters (Å, degrees): 4.992 4.992 4.992 90.00 90.00 90.00
Positions (direct):
Nb 0.000 0.000 0.000
K 0.500 0.500 0.500
Pd 0.000 0.500 0.000
Pd 0.000 0.000 0.500
Pd 0.500 0.000 0.000

***

[6]
DFT (PBE-GGA) results for a geometry-optimized InPdSCl2 structure.

Computed properties:
Energy relative to the lowest polymorph listed for this composition, meV per atom: 0.0
Total energy, eV per atom: -3.4119
ΔE_f (raw), eV per atom: -0.261

Lattice parameters (Å, degrees): 5.039 5.039 4.707 90.00 90.00 90.00
Site moments in Bohr magnetons follow the coordinates.
Positions (direct):
S 0.000 0.000 0.500  0.31
Cl 0.000 0.500 0.000  0.02
Cl 0.500 0.000 0.000  0.02
Pd 0.000 0.000 0.000  0.19
In 0.500 0.500 0.500  0.03

***

[7]
DFT (PBE-GGA) results for a geometry-optimized LiDy2Si4Ir3 structure.

Computed properties:
Total energy, eV per atom: -6.8476
ΔE_f (raw), eV per atom: -0.908

Lattice parameters (Å, degrees): 4.149 4.149 9.823 90.00 90.00 90.00
Positions (direct):
Li 0.500 0.500 0.500
Dy 0.500 0.000 0.246
Dy 0.000 0.500 0.754
Si 0.500 0.500 0.000
Si 0.000 0.000 0.000
Si 0.500 0.000 0.631
Si 0.000 0.500 0.369
Ir 0.000 0.000 0.500
Ir 0.500 0.000 0.873
Ir 0.000 0.500 0.127

***

[8]
DFT (PBE-GGA) results for a geometry-optimized Sr2MgCu4Sn3 structure.

Computed properties:
DFT formation energy, eV per atom: -0.3134
Total energy, eV per atom: -3.6485

Lattice parameters (Å, degrees): 4.573 4.573 10.689 90.00 90.00 90.00
Positions (direct):
Sr 0.500 0.000 0.237
Sr 0.000 0.500 0.763
Mg 0.500 0.500 0.500
Cu 0.500 0.500 0.000
Cu 0.000 0.000 0.000
Cu 0.500 0.000 0.630
Cu 0.000 0.500 0.370
Sn 0.000 0.000 0.500
Sn 0.500 0.000 0.874
Sn 0.000 0.500 0.126

***

[9]
DFT (PBE-GGA) results for a geometry-optimized LiTcGe structure.

Computed properties:
Energy relative to the lowest polymorph listed for this composition, meV per atom: 0.8
DFT formation energy, eV per atom: -0.2071
Total energy, eV per atom: -5.8395

Lattice parameters (Å, degrees): 2.959 7.236 4.391 90.00 90.00 90.00
Positions (direct):
Li 0.000 0.119 0.000
Li 0.500 0.881 0.500
Tc 0.000 0.552 0.500
Tc 0.500 0.448 0.000
Ge 0.000 0.741 0.000
Ge 0.500 0.259 0.500

***

[10]
DFT (PBE-GGA) results for a geometry-optimized HfGe2Pt structure.

Computed properties:
DFT formation energy, eV per atom: -0.3162
Total energy, eV per atom: -6.6234

Lattice parameters (Å, degrees): 4.079 4.079 9.606 77.74 77.74 90.00
Positions (direct):
Ge 0.654 0.125 0.250
Ge 0.096 0.625 0.250
Ge 0.375 0.346 0.750
Ge 0.875 0.904 0.750
Hf 0.500 0.500 0.000
Hf 0.250 0.750 0.500
Pt 0.000 0.000 0.000
Pt 0.750 0.250 0.500

***

[11]
DFT (PBE-GGA) results for a geometry-optimized Cs2In2Te4Pb structure.

Computed properties:
Total energy, eV per atom: -3.1979
ΔE_f (raw), eV per atom: -0.591

Lattice parameters (Å, degrees): 5.424 9.110 8.582 107.68 90.00 107.32
Positions (direct):
Cs 0.871 0.742 0.434
Cs 0.129 0.258 0.566
In 0.331 0.661 0.976
In 0.669 0.339 0.024
Te 0.798 0.596 0.833
Te 0.202 0.404 0.167
Te 0.484 0.968 0.236
Te 0.516 0.032 0.764
Pb 0.000 0.000 0.000

***

[12]
DFT (PBE-GGA) results for a geometry-optimized RbEu2Ga structure.

Computed properties:
Energy relative to the lowest polymorph listed for this composition, meV per atom: 138.4
DFT formation energy, eV per atom: 0.0009
Total energy, eV per atom: -6.1350

Lattice parameters (Å, degrees): 4.090 4.090 12.786 80.80 80.80 60.00
Site moments in Bohr magnetons follow the coordinates.
Positions (direct):
Eu 0.111 0.111 0.666  6.95
Eu 0.889 0.889 0.334  6.95
Ga 0.500 0.500 0.500  0.03
Rb 0.000 0.000 0.000  0.01

***

[13]
DFT (PBE-GGA) results for a geometry-optimized K2AlAs structure.

Computed properties:
Energy relative to the lowest polymorph listed for this composition, meV per atom: 427.0
DFT formation energy, eV per atom: 0.1611
Total energy, eV per atom: -2.4856

Lattice parameters (Å, degrees): 5.590 5.590 5.590 60.00 60.00 60.00
Positions (direct):
As 0.500 0.500 0.500
K 0.250 0.250 0.250
K 0.750 0.750 0.750
Al 0.000 0.000 0.000

***

[14]
DFT (PBE-GGA) results for a geometry-optimized Rb3Al2InO6 structure.

Computed properties:
Total energy, eV per atom: -5.4801
ΔE_f (raw), eV per atom: -1.907

Lattice parameters (Å, degrees): 6.001 6.001 7.278 90.00 90.00 120.00
Positions (direct):
Rb 0.333 0.667 0.760
Rb 0.667 0.333 0.240
Rb 0.000 0.000 0.000
Al 0.667 0.333 0.679
Al 0.333 0.667 0.321
In 0.000 0.000 0.500
O 0.662 0.831 0.312
O 0.169 0.338 0.312
O 0.169 0.831 0.312
O 0.831 0.662 0.688
O 0.338 0.169 0.688
O 0.831 0.169 0.688

***

[15]
DFT (PBE-GGA) results for a geometry-optimized PdAu8 structure.

Computed properties:
DFT formation energy, eV per atom: -0.0348
Total energy, eV per atom: -3.5250

Lattice parameters (Å, degrees): 4.142 6.537 6.537 84.24 71.53 71.53
Positions (direct):
Pd 0.000 0.000 0.000
Au 0.335 0.000 0.330
Au 0.665 0.000 0.670
Au 0.665 0.670 0.000
Au 0.000 0.668 0.332
Au 0.332 0.668 0.668
Au 0.668 0.332 0.332
Au 0.000 0.332 0.668
Au 0.335 0.330 0.000

***

[16]
DFT (PBE-GGA) results for a geometry-optimized CuPt2Rh structure.

Computed properties:
DFT formation energy, eV per atom: -0.0230
Total energy, eV per atom: -5.9053

Lattice parameters (Å, degrees): 2.761 2.761 7.612 90.00 90.00 90.00
Site moments in Bohr magnetons follow the coordinates.
Positions (direct):
Rh 0.000 0.000 0.511  0.64
Cu 0.500 0.500 0.747  0.09
Pt 0.000 0.000 0.986  0.15
Pt 0.500 0.500 0.257  0.27

***

[17]
DFT (PBE-GGA) results for a geometry-optimized Ac4La8Mg structure.

Computed properties:
DFT formation energy, eV per atom: 0.4835
Total energy, eV per atom: -3.9356

Lattice parameters (Å, degrees): 11.662 11.662 8.266 90.00 134.86 120.00
Positions (direct):
Ac 0.000 0.000 0.000
Ac 0.000 0.500 0.000
Ac 0.500 0.500 0.000
Ac 0.500 0.000 0.000
La 0.510 0.755 0.264
La 0.490 0.245 0.736
La 0.491 0.245 0.248
La 0.997 0.243 0.752
La 0.509 0.755 0.752
La 0.997 0.755 0.752
La 0.003 0.245 0.248
La 0.003 0.757 0.248
Mg 0.000 0.500 0.500

***

[18]
DFT (PBE-GGA) results for a geometry-optimized Tl2PbS2 structure.

Computed properties:
Energy relative to the lowest polymorph listed for this composition, meV per atom: 245.2
Total energy, eV per atom: -3.5179
ΔE_f (raw), eV per atom: -0.179

Lattice parameters (Å, degrees): 8.103 8.103 4.203 90.00 90.00 90.00
Positions (direct):
Pb 0.000 0.000 0.000
Pb 0.500 0.500 0.000
Tl 0.140 0.640 0.500
Tl 0.640 0.860 0.500
Tl 0.860 0.360 0.500
Tl 0.360 0.140 0.500
S 0.323 0.823 0.000
S 0.823 0.677 0.000
S 0.677 0.177 0.000
S 0.177 0.323 0.000

***

[19]
DFT (PBE-GGA) results for a geometry-optimized Mg2ZnGa structure.

Computed properties:
DFT formation energy, eV per atom: -0.1137
Total energy, eV per atom: -1.9863

Lattice parameters (Å, degrees): 3.316 3.316 6.777 90.00 90.00 90.00
Positions (direct):
Zn 0.500 0.500 0.000
Mg 0.000 0.000 0.754
Mg 0.000 0.000 0.246
Ga 0.500 0.500 0.500

***

[20]
DFT (PBE-GGA) results for a geometry-optimized Er3Si2Au4 structure.

Computed properties:
Total energy, eV per atom: -4.9731
ΔE_f (raw), eV per atom: -0.790

Lattice parameters (Å, degrees): 4.432 5.700 8.605 111.50 90.00 112.88
Positions (direct):
Er 0.651 0.303 0.681
Er 0.000 0.000 0.000
Er 0.349 0.697 0.319
Si 0.631 0.262 0.299
Si 0.369 0.738 0.701
Au 0.708 0.417 0.063
Au 0.292 0.583 0.937
Au 0.913 0.826 0.592
Au 0.087 0.174 0.408